TlPRh3, optimized geometry, DFT PBE; distance to the lowest polymorph of the same formula = 0.000 eV/atom; space group = No. 221; final energy = -6.04 eV per atom; formation enthalpy at 0 K = -0.076 eV/atom
1.0
4.430 0.000 0.000
0.000 4.430 0.000
0.000 0.000 4.430
Tl P Rh
1 1 3
direct
0.000 0.000 0.000
0.500 0.500 0.500
0.000 0.500 0.500
0.500 0.000 0.500
0.500 0.500 0.000